Entry from Alexandria via LeMat-Bulk: crystalline CdCoGe2 at its relaxed geometry (GGA-PBE).

Summary:
Formation energy from the elements   265 meV per atom
Final energy   -32.39 eV per cell
Size of the total moment   0.1 μB per formula unit

extended XYZ file:
```
8
Lattice="-2.179 2.179 7.953 2.179 -2.179 7.953 2.179 2.179 -7.953" Properties=species:S:1:pos:R:3 pbc="T T T"
Cd 0.000 0.000 0.000
Cd 0.000 2.179 3.977
Co 2.179 0.000 3.977
Co 0.000 0.000 7.953
Ge 1.090 -0.724 5.965
Ge 1.455 1.090 1.988
Ge 1.090 2.903 -1.988
Ge 0.724 1.090 9.941
```